The following is a PBE calculation of ScCrReNi after structural relaxation, from Alexandria via LeMat-Bulk.

extended XYZ file:
```
4
Lattice="-2.6968 -2.9717 -0.8996 2.3412 -2.1461 0.0709 -0.7305 -0.6533 4.3479" Properties=species:S:1:pos:R:3 pbc="T T T"
Sc 0.8054 -1.3997 2.2094
Cr -0.1778 -2.5589 -0.4144
Re 0.0000 0.0000 0.0000
Ni -1.7136 -1.8125 1.7241
```

- Space group: No. 47
- Raw total energy: -8.536 eV/atom
- ρ: 9.7 g/cm3
- ΔH_f (0 K): 0.010 eV per atom



The following is a PBE calculation of ScCrReNi after structural relaxation, from Alexandria via LeMat-Bulk.

extended XYZ file:
```
4
Lattice="-0.5099 3.0083 -0.5064 -2.2728 -0.7171 -1.9714 -4.0459 0.0937 4.6303" Properties=species:S:1:pos:R:3 pbc="T T T"
Sc -1.4343 0.0332 1.6415
Cr -3.4208 0.0792 3.9149
Re -1.6102 1.1507 -0.9884
Ni -3.8640 1.2029 1.5910
```

- Space group: No. 99
- Raw total energy: -8.632 eV/atom
- ρ: 9.6 g/cm3
- ΔH_f (0 K): -0.086 eV per atom



The following is a PBE calculation of ScCrReNi after structural relaxation, from Alexandria via LeMat-Bulk.

extended XYZ file:
```
8
Lattice="-0.1380 0.5167 -4.2750 -5.7179 -2.1183 -0.0714 -1.3523 3.4883 4.8106" Properties=species:S:1:pos:R:3 pbc="T T T"
Sc -2.7969 1.2424 0.2422
Sc -4.9797 -1.5609 -2.1988
Cr -3.4828 -1.2902 -0.0435
Cr -1.3000 1.5131 2.3975
Re -5.6555 0.1834 0.2065
Re -2.1203 -0.5016 -2.1631
Ni -0.6217 -0.2303 -0.0078
Ni -4.1568 0.4547 2.3618
```

- Space group: No. 216
- Raw total energy: -8.526 eV/atom
- ρ: 10.0 g/cm3
- ΔH_f (0 K): 0.020 eV per atom



The following is a PBE calculation of ScCrReNi after structural relaxation, from Alexandria via LeMat-Bulk.

extended XYZ file:
```
4
Lattice="2.9360 -0.0008 0.0139 0.0035 4.2901 -0.0312 1.4466 2.0349 4.6073" Properties=species:S:1:pos:R:3 pbc="T T T"
Sc 3.3817 3.6617 2.4323
Cr 3.3808 5.4838 4.5881
Re 0.4540 1.2907 0.3119
Ni 1.9128 1.6316 2.4754
```

- Space group: No. 1
- Raw total energy: -8.476 eV/atom
- ρ: 9.8 g/cm3
- ΔH_f (0 K): 0.070 eV per atom



The following is a PBE calculation of Cr2ReTcNi after structural relaxation, from Alexandria via LeMat-Bulk.

extended XYZ file:
```
5
Lattice="-4.2957 -1.3844 0.0884 0.4411 -1.6353 -4.1781 1.3150 -3.9724 1.6936" Properties=species:S:1:pos:R:3 pbc="T T T"
Cr 0.6575 -1.9862 0.8468
Cr -2.1479 -0.6922 0.0442
Re 0.0000 0.0000 0.0000
Tc -1.2698 -3.4960 -1.1980
Ni 0.2205 -0.8177 -2.0890
```

- Space group: No. 123
- Raw total energy: -7.804 eV/atom
- ρ: 8.1 g/cm3
- ΔH_f (0 K): 1.764 eV per atom



The following is a PBE calculation of CrReTcNi after structural relaxation, from Alexandria via LeMat-Bulk.

extended XYZ file:
```
4
Lattice="4.2378 0.0000 0.0000 2.1189 3.6701 0.0000 2.1189 1.2234 3.4602" Properties=species:S:1:pos:R:3 pbc="T T T"
Cr 6.3568 3.6701 2.5951
Re 4.2378 2.4467 1.7301
Tc 2.1189 1.2234 0.8650
Ni 0.0000 0.0000 0.0000
```

- Space group: No. 216
- Raw total energy: -9.397 eV/atom
- ρ: 12.2 g/cm3
- ΔH_f (0 K): 0.158 eV per atom



The following is a PBE calculation of TiCrReNi after structural relaxation, from Alexandria via LeMat-Bulk.

extended XYZ file:
```
4
Lattice="-0.9595 3.4352 2.2958 -3.4512 2.2811 -0.9371 -3.3498 -0.0555 2.6015" Properties=species:S:1:pos:R:3 pbc="T T T"
Re -1.9401 1.4152 0.9900
Ti -3.8802 2.8304 1.9801
Cr 0.0000 0.0000 0.0000
Ni -5.8204 4.2456 2.9701
```

- Space group: No. 216
- Raw total energy: -9.070 eV/atom
- ρ: 10.6 g/cm3
- ΔH_f (0 K): -0.133 eV per atom



The following is a PBE calculation of VCrReNi after structural relaxation, from Alexandria via LeMat-Bulk.

extended XYZ file:
```
4
Lattice="-0.5134 -3.8323 1.6105 2.8446 -1.5557 2.6518 -0.9465 -0.4583 4.0544" Properties=species:S:1:pos:R:3 pbc="T T T"
Re 1.0386 -4.3847 6.2375
V 0.6924 -2.9232 4.1583
Cr 0.0000 0.0000 0.0000
Ni 0.3462 -1.4616 2.0792
```

- Space group: No. 216
- Raw total energy: -9.246 eV/atom
- ρ: 11.1 g/cm3
- ΔH_f (0 K): -0.003 eV per atom



The following is a PBE calculation of CrNiRh2 after structural relaxation, from Alexandria via LeMat-Bulk.

extended XYZ file:
```
4
Lattice="-1.4112 -0.1572 8.4417 -0.1167 -2.4769 8.1933 1.2562 -0.2055 8.4651" Properties=species:S:1:pos:R:3 pbc="T T T"
Ni -0.2038 -2.1297 18.8250
Rh -0.2711 -2.8331 25.0425
Rh -0.1365 -1.4263 12.6075
Cr -0.0679 -0.7099 6.2750
```

- Space group: No. 166
- Raw total energy: -7.521 eV/atom
- ρ: 10.1 g/cm3
- ΔH_f (0 K): 0.006 eV per atom



The following is a PBE calculation of Cr2NiRh9 after structural relaxation, from Alexandria via LeMat-Bulk.

extended XYZ file:
```
12
Lattice="-0.9407 -3.1779 -1.8498 3.4545 -1.4179 0.6791 -3.7850 -4.5534 9.7475" Properties=species:S:1:pos:R:3 pbc="T T T"
Cr -1.2463 -1.4994 3.2097
Cr -2.5387 -3.0540 6.5378
Ni 0.0000 0.0000 0.0000
Rh 1.2569 -2.2979 -0.5854
Rh -0.0075 -3.8190 2.6709
Rh -1.2637 -5.3302 5.9058
Rh -1.1068 -2.3545 0.7141
Rh -2.3629 -3.8656 3.9489
Rh -3.6190 -5.3767 7.1837
Rh 1.0909 -1.4746 1.9785
Rh -0.1652 -2.9857 5.2133
Rh -1.4213 -4.4967 8.4481
```

- Space group: No. 123
- Raw total energy: -7.680 eV/atom
- ρ: 11.0 g/cm3
- ΔH_f (0 K): -0.081 eV per atom



The following is a PBE calculation of Cr2Ni4Rh3 after structural relaxation, from Alexandria via LeMat-Bulk.

extended XYZ file:
```
18
Lattice="4.3845 -0.4846 0.9681 0.2151 6.1989 2.3960 0.3729 -0.4944 7.9541" Properties=species:S:1:pos:R:3 pbc="T T T"
Cr 3.0944 4.7678 7.5039
Cr 3.8336 2.1097 3.1026
Cr 1.8781 0.4521 3.8143
Cr 1.1389 3.1102 8.2156
Ni 2.5306 -0.1249 7.3238
Ni 4.5216 0.2788 8.8697
Ni 2.4419 5.3448 3.9944
Ni 0.4509 4.9412 2.4485
Ni 1.0912 4.3216 5.9268
Ni 1.4074 2.9507 3.7348
Ni 3.8813 0.8983 5.3915
Ni 3.5651 2.2692 7.5835
Rh 0.7353 5.6214 8.1044
Rh 1.8154 1.6536 1.5418
Rh 4.2372 -0.4014 3.2138
Rh 3.1571 3.5664 9.7765
Rh 1.5171 1.8196 6.0378
Rh 3.4554 3.4003 5.2805
```

- Space group: No. 2
- Raw total energy: -7.168 eV/atom
- ρ: 9.8 g/cm3
- ΔH_f (0 K): -0.009 eV per atom



The following is a PBE calculation of Cr4Ni5Rh4 after structural relaxation, from Alexandria via LeMat-Bulk.

extended XYZ file:
```
13
Lattice="-1.3706 3.0079 -1.6505 -6.8266 -0.7984 0.0789 -0.9778 4.5829 5.0287" Properties=species:S:1:pos:R:3 pbc="T T T"
Cr -3.6809 2.4034 -0.8337
Cr -5.4942 4.3890 4.2907
Cr -7.8023 3.5446 0.5334
Cr -1.3727 3.2478 2.9236
Ni -7.5616 4.9141 2.8294
Ni -1.6135 1.8783 0.6276
Ni 0.0000 0.0000 0.0000
Ni -6.1619 1.6592 -0.1296
Ni -3.0131 5.1332 3.5866
Rh -5.1089 5.6393 2.1142
Rh -3.2714 3.7722 1.3209
Rh -4.0661 1.1531 1.3428
Rh -5.9036 3.0202 2.1361
```

- Space group: No. 87
- Raw total energy: -7.447 eV/atom
- ρ: 9.4 g/cm3
- ΔH_f (0 K): 0.000 eV per atom



The following is a PBE calculation of Cr2Ni7Rh2 after structural relaxation, from Alexandria via LeMat-Bulk.

extended XYZ file:
```
11
Lattice="-1.0564 -1.4352 4.6881 -4.9433 -2.8719 -0.3844 1.3118 -4.7979 -0.6424" Properties=species:S:1:pos:R:3 pbc="T T T"
Cr -3.2955 -5.6582 2.1054
Cr -1.3924 -3.4468 1.5558
Ni -2.0075 -4.5384 3.6743
Ni -3.6290 -3.2196 2.1220
Ni -2.6804 -4.5666 -0.0131
Ni -1.0589 -5.8854 1.5392
Ni -2.4716 -1.4360 -0.1922
Ni -0.0908 -1.6843 1.0222
Ni -4.5971 -7.4207 2.6390
Rh -0.5296 -2.1832 3.5024
Rh 0.7850 -4.0499 0.5433
```

- Space group: No. 12
- Raw total energy: -6.609 eV/atom
- ρ: 8.9 g/cm3
- ΔH_f (0 K): 0.156 eV per atom



The following is a PBE calculation of CrNi2Rh2 after structural relaxation, from Alexandria via LeMat-Bulk.

extended XYZ file:
```
5
Lattice="3.1744 0.0000 -0.6780 -0.1448 3.1709 -0.6780 -0.1797 -0.1880 6.9286" Properties=species:S:1:pos:R:3 pbc="T T T"
Cr 0.0000 0.0000 0.0000
Ni 2.2548 0.6987 2.7863
Ni 0.5951 2.2842 2.7863
Rh 1.0661 1.1159 4.9911
Rh 1.7838 1.8671 0.5815
```

- Space group: No. 139
- Raw total energy: -6.898 eV/atom
- ρ: 9.0 g/cm3
- ΔH_f (0 K): 0.280 eV per atom